Entry from Alexandria via LeMat-Bulk: crystalline Sr2MnIr at its relaxed geometry (PBE).

a b c (Å): 4.309 4.309 24.710
angles (deg): 90.00 90.00 120.00
Atoms (fractional coordinates):
Sr 0.000 0.000 0.231
Sr 0.000 0.000 0.769
Sr 0.333 0.667 0.436
Sr 0.333 0.667 0.898
Sr 0.667 0.333 0.102
Sr 0.667 0.333 0.564
Mn 0.000 0.000 0.000
Mn 0.333 0.667 0.667
Mn 0.667 0.333 0.333
Ir 0.000 0.000 0.500
Ir 0.333 0.667 0.167
Ir 0.667 0.333 0.833

Output
* energy relative to the lowest polymorph listed for this composition: 569 meV per atom
* magnetization: 13.0 μB/cell
* SG: R-3m (166)



Entry from Alexandria via LeMat-Bulk: crystalline Be3TlAs at its relaxed geometry (PBE).

a b c (Å): 4.424 4.424 4.424
angles (deg): 90.00 90.00 90.00
Atoms (fractional coordinates):
Be 0.000 0.000 0.500
Be 0.000 0.500 0.000
Be 0.500 0.000 0.000
Tl 0.500 0.500 0.500
As 0.000 0.000 0.000

Output
* energy relative to the lowest polymorph listed for this composition: 0 meV per atom
* magnetization: 0.0 μB/cell
* SG: Pm-3m (221)



Entry from Alexandria via LeMat-Bulk: crystalline Tb3ThSc3 at its relaxed geometry (PBE).

a b c (Å): 9.248 9.248 5.469
angles (deg): 90.00 90.00 120.00
Atoms (fractional coordinates):
Tb 0.054 0.806 0.250
Tb 0.194 0.247 0.250
Tb 0.247 0.054 0.750
Tb 0.753 0.946 0.250
Tb 0.806 0.753 0.750
Tb 0.946 0.194 0.750
Th 0.333 0.667 0.250
Th 0.667 0.333 0.750
Sc 0.097 0.611 0.750
Sc 0.389 0.486 0.750
Sc 0.486 0.097 0.250
Sc 0.514 0.903 0.750
Sc 0.611 0.514 0.250
Sc 0.903 0.389 0.250

Output
* energy relative to the lowest polymorph listed for this composition: 0 meV per atom
* magnetization: 0.0 μB/cell
* SG: P6_3/m (176)



Entry from Alexandria via LeMat-Bulk: crystalline SrScCl2 at its relaxed geometry (PBE).

a b c (Å): 7.161 9.042 3.816
angles (deg): 90.00 117.57 90.00
Atoms (fractional coordinates):
Sr 0.000 0.000 0.000
Sr 0.500 0.500 0.000
Sc 0.000 0.500 0.000
Sc 0.500 0.000 0.000
Cl 0.250 0.250 0.000
Cl 0.250 0.750 0.000
Cl 0.750 0.250 0.000
Cl 0.750 0.750 0.000

Output
* energy relative to the lowest polymorph listed for this composition: 224 meV per atom
* energy relative to the elements, uncorrected: -1.151 eV per atom
* magnetization: 0.7 μB/cell
* SG: C2/m (12)



Entry from Alexandria via LeMat-Bulk: crystalline Tl2CuAuBr6 at its relaxed geometry (PBE).

a b c (Å): 7.563 7.563 7.735
angles (deg): 119.21 119.21 89.99
Atoms (fractional coordinates):
Tl 0.250 0.750 0.000
Tl 0.750 0.250 0.000
Cu 0.000 0.000 0.500
Au 0.500 0.500 0.500
Br 0.207 0.207 0.914
Br 0.264 0.264 0.500
Br 0.264 0.736 0.500
Br 0.736 0.264 0.500
Br 0.736 0.736 0.500
Br 0.793 0.793 0.086

Output
* energy relative to the elements, uncorrected: -0.468 eV per atom
* magnetization: 0.0 μB/cell
* SG: C2/m (12)



Entry from Alexandria via LeMat-Bulk: crystalline NdCoSi2Tc at its relaxed geometry (PBE).

a b c (Å): 4.138 4.138 9.860
angles (deg): 90.00 90.00 90.00
Atoms (fractional coordinates):
Nd 0.000 0.000 0.000
Nd 0.500 0.500 0.500
Co 0.000 0.500 0.750
Co 0.500 0.000 0.250
Si 0.000 0.000 0.366
Si 0.000 0.000 0.634
Si 0.500 0.500 0.134
Si 0.500 0.500 0.866
Tc 0.000 0.500 0.250
Tc 0.500 0.000 0.750

Output
* energy relative to the elements, uncorrected: -0.681 eV per atom
* magnetization: 0.0 μB/cell
* SG: I-4m2 (119)



Entry from Alexandria via LeMat-Bulk: crystalline SrInSeBr2 at its relaxed geometry (PBE).

a b c (Å): 5.915 5.915 6.058
angles (deg): 90.00 90.00 90.00
Atoms (fractional coordinates):
Sr 0.000 0.000 0.000
In 0.500 0.500 0.500
Se 0.000 0.000 0.500
Br 0.000 0.500 0.000
Br 0.500 0.000 0.000

Output
* energy relative to the lowest polymorph listed for this composition: 47 meV per atom
* energy relative to the elements, uncorrected: -0.925 eV per atom
* magnetization: 1.0 μB/cell
* SG: P4/mmm (123)



Entry from Alexandria via LeMat-Bulk: crystalline MoAs2 at its relaxed geometry (PBE).

a b c (Å): 3.190 3.190 10.646
angles (deg): 90.00 90.00 90.00
Atoms (fractional coordinates):
Mo 0.000 0.000 0.000
Mo 0.500 0.500 0.500
As 0.000 0.000 0.365
As 0.000 0.000 0.635
As 0.500 0.500 0.135
As 0.500 0.500 0.865

Output
* calculated total energy: -0.2462 Ha/atom
* magnetization: 0.0 μB/cell
* SG: I4/mmm (139)



Entry from Alexandria via LeMat-Bulk: crystalline ScTa2Pb at its relaxed geometry (PBE).

a b c (Å): 4.119 4.119 4.782
angles (deg): 90.00 90.00 90.00
Atoms (fractional coordinates):
Sc 0.000 0.000 0.000
Ta 0.000 0.500 0.500
Ta 0.500 0.000 0.500
Pb 0.500 0.500 0.000

Output
* calculated total energy: -0.3042 Ha/atom
* magnetization: 0.0 μB/cell
* SG: P4/mmm (123)



Entry from Alexandria via LeMat-Bulk: crystalline BaMgTe2 at its relaxed geometry (PBE).

a b c (Å): 14.856 4.497 4.964
angles (deg): 90.00 93.05 90.00
Atoms (fractional coordinates):
Ba 0.000 0.000 0.000
Ba 0.500 0.500 0.000
Mg 0.264 0.000 0.277
Mg 0.764 0.500 0.277
Te 0.193 0.500 0.017
Te 0.435 0.000 0.492
Te 0.693 0.000 0.017
Te 0.935 0.500 0.492

Output
* energy relative to the elements, uncorrected: -1.164 eV per atom
* magnetization: 0.0 μB/cell
* SG: Cm (8)



Entry from Alexandria via LeMat-Bulk: crystalline BaTaPb at its relaxed geometry (PBE).

a b c (Å): 7.581 7.581 7.581
angles (deg): 90.00 90.00 90.00
Atoms (fractional coordinates):
Ba 0.000 0.000 0.000
Ba 0.000 0.500 0.500
Ba 0.500 0.000 0.500
Ba 0.500 0.500 0.000
Ta 0.000 0.000 0.500
Ta 0.000 0.500 0.000
Ta 0.500 0.000 0.000
Ta 0.500 0.500 0.500
Pb 0.250 0.250 0.250
Pb 0.250 0.750 0.750
Pb 0.750 0.250 0.750
Pb 0.750 0.750 0.250

Output
* energy relative to the lowest polymorph listed for this composition: 394 meV per atom
* magnetization: 11.7 μB/cell
* SG: F-43m (216)



Entry from Alexandria via LeMat-Bulk: crystalline Sc4FeRe at its relaxed geometry (PBE).

a b c (Å): 5.454 5.454 5.454
angles (deg): 60.00 60.00 60.00
Atoms (fractional coordinates):
Sc 0.125 0.125 0.125
Sc 0.125 0.125 0.624
Sc 0.125 0.624 0.125
Sc 0.624 0.125 0.125
Fe 0.750 0.750 0.750
Re 0.500 0.500 0.500

Output
* calculated total energy: -0.2562 Ha/atom
* magnetization: 2.2 μB/cell
* SG: F-43m (216)



Entry from Alexandria via LeMat-Bulk: crystalline DyZrCu10 at its relaxed geometry (PBE).

a b c (Å): 4.090 4.974 8.569
angles (deg): 90.00 90.00 90.00
Atoms (fractional coordinates):
Dy 0.000 0.000 0.000
Zr 0.000 0.500 0.500
Cu 0.000 0.000 0.338
Cu 0.000 0.000 0.662
Cu 0.000 0.500 0.173
Cu 0.000 0.500 0.827
Cu 0.500 0.000 0.500
Cu 0.500 0.253 0.256
Cu 0.500 0.253 0.744
Cu 0.500 0.500 0.000
Cu 0.500 0.747 0.256
Cu 0.500 0.747 0.744

Output
* calculated total energy: -0.1700 Ha/atom
* magnetization: 0.0 μB/cell
* SG: Pmmm (47)